1.
8
Lattice="-0.080 0.571 -7.725 -7.728 -0.527 0.041 -4.106 2.999 -3.620" Properties=species:S:1:pos:R:3 comment="ScTlGa2 | the Alexandria database | PBE | relaxed" polymorph_energy_mev_per_atom=249 space_group="No. 122" delta_e_f_mev_per_atom=-33 energy_ev_per_atom=-3.72 pbc="T T T"
Ga -5.971 2.268 -5.596
Ga -5.866 0.489 -1.809
Ga -9.948 2.285 -9.438
Ga -2.043 1.043 -5.764
Tl -4.045 1.796 -7.593
Tl 0.000 0.000 0.000
Sc -3.904 0.022 -3.842
Sc -7.869 1.247 -3.710

2.
5
Lattice="6.643 0.000 0.000 0.000 6.643 0.000 3.322 3.322 5.315" Properties=species:S:1:pos:R:3 comment="RbBi2I2 | the Alexandria database | PBE | relaxed" raw_formation_energy_ev_per_atom=-0.29 polymorph_energy_mev_per_atom=141 space_group="No. 139" energy_ev_per_atom=-2.66 pbc="T T T"
Rb 0.000 0.000 0.000
Bi 3.322 3.322 1.395
Bi 6.643 6.643 3.921
I 6.643 3.322 2.658
I 3.322 6.643 2.658

3.
5
Lattice="4.043 0.000 1.398 -0.481 4.013 1.401 0.182 0.200 6.029" Properties=species:S:1:pos:R:3 comment="ThAl3Cu | the Alexandria database | PBE | relaxed" polymorph_energy_mev_per_atom=0 space_group="No. 8" delta_e_f_mev_per_atom=-432 energy_ev_per_atom=-4.98 pbc="T T T"
Al 0.447 1.876 3.345
Al 2.958 2.437 2.620
Al 2.219 3.888 4.744
Th 1.674 0.985 6.340
Cu -0.179 3.456 5.136

4.
4
Lattice="9.558 0.082 -0.059 8.719 3.917 -0.059 0.938 0.205 4.069" Properties=species:S:1:pos:R:3 comment="Sr2MgSe | the Alexandria database | PBE | relaxed" raw_formation_energy_ev_per_atom=-0.80 polymorph_energy_mev_per_atom=88 space_group="No. 8" energy_ev_per_atom=-2.91 pbc="T T T"
Mg 8.671 1.897 2.197
Se 13.661 2.989 3.146
Sr 2.169 0.475 3.773
Sr 5.259 1.150 0.880

5.
12
Lattice="4.208 0.000 1.159 1.040 7.423 4.445 0.062 0.628 7.996" Properties=species:S:1:pos:R:3 comment="BaLi3P2 | the Alexandria database | PBE | relaxed" space_group="No. 12" delta_e_f_mev_per_atom=-807 energy_ev_per_atom=-3.89 pbc="T T T"
Li 2.430 5.439 7.617
Li 4.508 2.998 8.291
Li 2.880 2.611 5.982
Li 3.445 4.150 3.932
Li 1.866 3.900 9.668
Li 0.802 5.052 5.308
Ba 3.665 0.778 3.130
Ba 1.645 7.272 10.469
P 4.206 5.269 9.388
P 1.104 2.782 4.211
P 3.057 6.338 5.339
P 2.253 1.713 8.260

6.
5
Lattice="-0.018 -2.080 3.895 -0.601 -3.858 -2.063 5.208 -0.641 -0.318" Properties=species:S:1:pos:R:3 comment="CoP2OsS | the Alexandria database | PBE | relaxed" raw_formation_energy_ev_per_atom=1.05 polymorph_energy_mev_per_atom=37 space_group="No. 123" energy_ev_per_atom=-5.60 pbc="T T T"
P -0.009 -1.040 1.948
P -0.300 -1.929 -1.031
Os 0.000 0.000 0.000
Co 2.295 -3.289 0.757
S 2.604 -0.321 -0.159

7.
8
Lattice="4.532 0.000 0.000 0.000 4.532 0.000 2.266 2.266 8.962" Properties=species:S:1:pos:R:3 comment="YVGa2 | the Alexandria database | PBE | relaxed" polymorph_energy_mev_per_atom=433 space_group="No. 122" delta_e_f_mev_per_atom=193 energy_ev_per_atom=-5.22 pbc="T T T"
Ga 1.680 3.399 2.241
Ga 2.852 1.133 2.241
Ga 5.665 5.119 6.722
Ga 3.399 3.946 6.722
Y 4.532 2.266 4.481
Y 0.000 0.000 0.000
V 2.266 2.266 0.000
V 2.266 4.532 4.481

8.
8
Lattice="-3.146 -0.379 -4.022 1.130 -3.193 -3.842 -3.149 -4.809 -0.340" Properties=species:S:1:pos:R:3 comment="PHPd6 | the Alexandria database | PBE | relaxed" space_group="No. 148" energy_ev_per_atom=-5.24 pbc="T T T"
Pd -2.854 -6.281 -4.881
Pd -2.311 -2.100 -3.324
Pd -4.758 -4.133 -3.542
Pd -3.065 -3.354 -6.131
Pd -0.407 -4.248 -4.663
Pd -2.101 -5.028 -2.074
P -2.583 -4.191 -4.102
H 0.000 0.000 0.000

9.
4
Lattice="-0.370 -4.383 -1.791 2.137 -1.078 -4.102 3.775 -2.882 -0.025" Properties=species:S:1:pos:R:3 comment="Tl2CoMo | the Alexandria database | PBE | relaxed" polymorph_energy_mev_per_atom=601 space_group="No. 216" delta_e_f_mev_per_atom=1046 energy_ev_per_atom=-4.62 pbc="T T T"
Tl 0.000 0.000 0.000
Tl 4.156 -6.257 -4.438
Co 2.771 -4.171 -2.959
Mo 1.385 -2.086 -1.479

10.
19
Lattice="7.584 -0.127 -0.179 -2.003 7.315 -0.179 -2.003 -2.580 6.848" Properties=species:S:1:pos:R:3 comment="SrZn6Ga12 | the Alexandria database | PBE | relaxed" space_group="No. 166" delta_e_f_mev_per_atom=-24 energy_ev_per_atom=-2.43 pbc="T T T"
Zn 3.559 -0.212 4.782
Zn -1.088 3.395 4.782
Zn 0.019 4.821 1.708
Zn 4.666 1.213 1.708
Zn 3.559 4.585 1.376
Zn 0.019 0.024 5.114
Ga -1.987 5.236 3.245
Ga 1.789 -1.593 6.013
Ga 3.867 2.650 3.732
Ga 5.565 3.270 0.477
Ga 1.969 0.206 2.758
Ga -0.289 1.959 2.758
Ga 1.789 6.202 0.477
Ga 5.565 -0.627 3.245
Ga 1.969 2.537 1.103
Ga 1.609 2.072 5.387
Ga 1.609 4.403 3.732
Ga -1.987 1.338 6.013
Sr 0.000 0.000 0.000

11.
4
Lattice="3.658 0.000 0.000 1.829 3.168 0.000 1.829 1.056 10.008" Properties=species:S:1:pos:R:3 comment="DyYBr2 | the Alexandria database | PBE | relaxed" raw_formation_energy_ev_per_atom=-0.98 space_group="No. 166" energy_ev_per_atom=-4.58 pbc="T T T"
Y 0.000 0.000 0.000
Dy 3.658 2.112 5.004
Br 1.829 1.056 7.098
Br 5.487 3.168 2.910

12.
5
Lattice="-0.097 -2.497 -1.679 -0.189 -0.499 3.414 -9.115 1.357 -1.092" Properties=species:S:1:pos:R:3 comment="LiSiGeHF | the Alexandria database | PBE | relaxed" polymorph_energy_mev_per_atom=15 space_group="No. 1" energy_ev_per_atom=-4.30 pbc="T T T"
F -5.313 0.608 0.292
Ge -8.941 -1.255 0.577
H -2.711 -0.489 1.358
Si -1.211 -0.574 1.393
Li -5.496 -0.500 1.915

13.
20
Lattice="6.065 0.000 -0.015 0.000 6.231 0.000 0.031 0.000 8.692" Properties=species:S:1:pos:R:3 comment="Sr2PmPaO6 | the Alexandria database | PBE | relaxed" raw_formation_energy_ev_per_atom=-3.33 space_group="No. 14" energy_ev_per_atom=-8.07 pbc="T T T"
O 4.202 1.799 4.883
O 1.281 1.189 3.860
O 0.691 2.819 6.606
O 4.943 4.914 8.132
O 1.767 4.305 0.479
O 2.388 5.934 6.424
O 3.708 0.296 2.252
O 1.154 1.317 0.545
O 4.329 1.926 8.198
O 5.405 3.412 2.071
O 4.816 5.042 4.817
O 1.895 4.432 3.793
Sr 3.133 3.401 6.526
Sr 2.963 2.830 2.151
Sr 6.012 0.285 6.490
Sr 0.085 5.946 2.187
Pm 3.033 0.000 -0.008
Pm 0.016 3.115 4.346
Pa 0.000 3.115 0.000
Pa 3.048 0.000 4.338

14.
8
Lattice="3.794 0.000 0.000 0.000 6.574 0.111 0.000 -2.303 6.239" Properties=species:S:1:pos:R:3 comment="YZr2ScP4 | the Alexandria database | PBE | relaxed" space_group="No. 10" delta_e_f_mev_per_atom=-1447 energy_ev_per_atom=-7.89 pbc="T T T"
Sc 0.000 0.000 0.000
Y 1.897 3.287 0.055
Zr 1.897 -1.152 3.119
Zr 0.000 2.135 3.175
P 0.000 -0.126 4.648
P 0.000 4.397 1.701
P 1.897 3.247 4.737
P 1.897 1.023 1.612

15.
5
Lattice="4.318 0.000 0.000 0.000 4.647 0.000 0.000 0.000 4.318" Properties=species:S:1:pos:R:3 comment="BiBRu2Br | the Alexandria database | PBE | relaxed" raw_formation_energy_ev_per_atom=0.91 space_group="No. 123" energy_ev_per_atom=-5.24 pbc="T T T"
Ru 0.000 0.000 2.159
Ru 2.159 0.000 0.000
Bi 2.159 2.324 2.159
Br 0.000 2.324 0.000
B 0.000 0.000 0.000

16.
8
Lattice="-3.192 -1.659 -6.682 -2.223 -6.722 2.731 -5.141 -3.030 -1.101" Properties=species:S:1:pos:R:3 comment="Nb2TlMo | the Alexandria database | PBE | relaxed" polymorph_energy_mev_per_atom=363 space_group="No. 122" delta_e_f_mev_per_atom=748 energy_ev_per_atom=-7.59 pbc="T T T"
Mo -5.036 -6.971 -0.172
Mo -2.707 -4.191 -1.975
Tl 0.000 0.000 0.000
Tl -5.520 -4.440 -4.879
Nb -3.425 -2.565 -3.831
Nb -3.207 -5.235 0.318
Nb -8.501 -9.326 -4.396
Nb -5.979 -5.696 -2.193

17.
12
Lattice="7.968 -0.012 -0.006 -3.992 6.896 -0.006 -1.332 -2.306 7.481" Properties=species:S:1:pos:R:3 comment="Ac2La3ErTe6 | the Alexandria database | PBE | relaxed" raw_formation_energy_ev_per_atom=-1.49 space_group="No. 12" energy_ev_per_atom=-5.35 pbc="T T T"
La -2.544 4.521 3.735
La 1.322 2.289 3.735
La 5.187 0.057 3.735
Er 0.000 0.000 0.000
Ac 3.962 2.302 -0.006
Ac 0.014 4.582 -0.006
Te 2.509 -0.016 1.834
Te -1.267 2.165 1.834
Te -0.083 -0.143 5.563
Te 0.135 4.594 5.636
Te 3.911 2.413 5.636
Te 2.727 4.721 1.907